Record 1
Density functional theory data (PBE) for a relaxed LiZn2Si2 crystal.

## Properties
- V (Å³ per cell) = 169
- VASP energy (eV/atom) = -3.095

Unit cell a=4.027 b=4.027 c=10.410 alpha=90.00 beta=90.00 gamma=90.00
Space group I4/mmm (No. 139)
Symmetry-distinct sites (fractional):
Li1 0.000 0.000 0.000
Zn1 0.000 0.500 0.250
Si1 0.000 0.000 0.391

Record 2
Density functional theory data (PBE) for a relaxed LiZrSi2 crystal.

## Properties
- V (Å³ per cell) = 255
- VASP energy (eV/atom) = -5.253

Unit cell a=6.345 b=6.345 c=6.345 alpha=90.00 beta=90.00 gamma=90.00
Space group F-43m (No. 216)
Symmetry-distinct sites (fractional):
Li1 0.000 0.000 0.000
Zr1 0.250 0.250 0.250
Si1 0.000 0.000 0.500
Si2 0.250 0.250 0.750

Record 3
Density functional theory data (PBE) for a relaxed Li2Sm crystal.

## Properties
- E above lowest polymorph (meV per atom) = 0
- V (Å³ per cell) = 551

Unit cell a=8.197 b=8.197 c=8.197 alpha=90.00 beta=90.00 gamma=90.00
Space group Fd-3m (No. 227, origin choice 2)
Symmetry-distinct sites (fractional):
Li1 0.000 0.000 0.000
Sm1 0.125 0.125 0.625

Record 4
Density functional theory data (PBE) for a relaxed LiSm2 crystal.

## Properties
- E above lowest polymorph (meV per atom) = 0
- V (Å³ per cell) = 814

Unit cell a=9.339 b=9.339 c=9.339 alpha=90.00 beta=90.00 gamma=90.00
Space group Fd-3m (No. 227, origin choice 2)
Symmetry-distinct sites (fractional):
Li1 0.125 0.125 0.125
Sm1 0.000 0.000 0.500

Record 5
Density functional theory data (PBE) for a relaxed Li2Sm crystal.

## Properties
- E above lowest polymorph (meV per atom) = 647
- V (Å³ per cell) = 349

Unit cell a=7.037 b=7.037 c=7.037 alpha=90.00 beta=90.00 gamma=90.00
Space group Fm-3m (No. 225)
Symmetry-distinct sites (fractional):
Li1 0.250 0.250 0.250
Sm1 0.000 0.000 0.000

Record 6
Density functional theory data (PBE) for a relaxed LiSm2 crystal.

## Properties
- E above lowest polymorph (meV per atom) = 1411
- V (Å³ per cell) = 1691

Unit cell a=11.913 b=11.913 c=11.913 alpha=90.00 beta=90.00 gamma=90.00
Space group Fd-3m (No. 227, origin choice 2)
Symmetry-distinct sites (fractional):
Li1 0.125 0.125 0.125
Sm1 0.000 0.000 0.000

Record 7
Density functional theory data (PBE) for a relaxed LiSmSn crystal.

## Properties
- V (Å³ per cell) = 363
- VASP energy (eV/atom) = -3.604

Unit cell a=7.131 b=7.131 c=7.131 alpha=90.00 beta=90.00 gamma=90.00
Space group F-43m (No. 216)
Symmetry-distinct sites (fractional):
Li1 0.000 0.000 0.000
Sm1 0.250 0.250 0.250
Sn1 0.000 0.000 0.500

Record 8
Density functional theory data (PBE) for a relaxed LiSmSn2 crystal.

## Properties
- V (Å³ per cell) = 97
- VASP energy (eV/atom) = -4.239

Unit cell a=4.660 b=4.660 c=4.490 alpha=90.00 beta=90.00 gamma=90.00
Space group P4/mmm (No. 123)
Symmetry-distinct sites (fractional):
Li1 0.000 0.000 0.000
Sm1 0.500 0.500 0.000
Sn1 0.000 0.500 0.500

Record 9
Density functional theory data (PBE) for a relaxed LiSmSn crystal.

## Properties
- V (Å³ per cell) = 295
- VASP energy (eV/atom) = -4.032

Unit cell a=6.654 b=6.654 c=6.654 alpha=90.00 beta=90.00 gamma=90.00
Space group F-43m (No. 216)
Symmetry-distinct sites (fractional):
Li1 0.000 0.000 0.000
Sm1 0.250 0.250 0.750
Sn1 0.250 0.250 0.250

Record 10
Density functional theory data (PBE) for a relaxed Li3Tb2SmSn3 crystal.

## Properties
- V (Å³ per cell) = 213
- VASP energy (eV/atom) = -4.149

Unit cell a=4.7224 b=4.7224 c=11.0166 alpha=90.00 beta=90.00 gamma=120.00
Space group P-6m2 (No. 187)
Symmetry-distinct sites (fractional):
Li1 0.0000 0.0000 0.0000
Li2 0.3333 0.6667 0.3072
Tb1 0.6667 0.3333 0.1631
Sm1 0.6667 0.3333 0.5000
Sn1 0.0000 0.0000 0.3234
Sn2 0.3333 0.6667 0.0000

Record 11
Density functional theory data (PBE) for a relaxed SrLiSm crystal.

## Properties
- E above lowest polymorph (meV per atom) = 0
- V (Å³ per cell) = 456

Unit cell a=7.696 b=7.696 c=7.696 alpha=90.00 beta=90.00 gamma=90.00
Space group F-43m (No. 216)
Symmetry-distinct sites (fractional):
Sr1 0.000 0.000 0.000
Li1 0.250 0.250 0.250
Sm1 0.000 0.000 0.500

Record 12
Density functional theory data (PBE) for a relaxed SrLiSmTe3 crystal.

## Properties
- E above lowest polymorph (meV per atom) = 2
- V (Å³ per cell) = 761

Unit cell a=4.480 b=14.622 c=11.616 alpha=90.00 beta=90.00 gamma=90.00
Space group Cmcm (No. 63)
Symmetry-distinct sites (fractional):
Sr1 0.000 0.246 0.250
Li1 0.000 0.476 0.750
Sm1 0.000 0.000 0.000
Te1 0.000 0.084 0.750
Te2 0.000 0.358 0.566

Record 13
Density functional theory data (PBE) for a relaxed SrLiSmTe3 crystal.

## Properties
- E above lowest polymorph (meV per atom) = 0
- V (Å³ per cell) = 765

Unit cell a=11.648 b=4.478 c=14.663 alpha=90.00 beta=90.00 gamma=90.00
Space group Pnma (No. 62)
Symmetry-distinct sites (fractional):
Sr1 0.229 0.250 0.004
Li1 0.236 0.750 0.228
Sm1 0.016 0.750 0.745
Te1 0.050 0.750 0.112
Te2 0.084 0.250 0.607
Te3 0.237 0.250 0.335

Record 14
Density functional theory data (PBE) for a relaxed SrLiSmTe3 crystal.

## Properties
- E above lowest polymorph (meV per atom) = 6
- V (Å³ per cell) = 778

Unit cell a=19.347 b=4.464 c=9.279 alpha=90.00 beta=104.02 gamma=90.00
Space group C2/m (No. 12)
Symmetry-distinct sites (fractional):
Sr1 0.132 0.000 0.067
Li1 0.015 0.500 0.703
Sm1 0.167 0.000 0.589
Te1 0.000 0.000 0.500
Te2 0.000 0.500 0.000
Te3 0.166 0.500 0.351
Te4 0.178 0.500 0.829

Record 15
Density functional theory data (PBE) for a relaxed LiSmTe crystal.

## Properties
- E above lowest polymorph (meV per atom) = 230
- V (Å³ per cell) = 364

Unit cell a=7.139 b=7.139 c=7.139 alpha=90.00 beta=90.00 gamma=90.00
Space group F-43m (No. 216)
Symmetry-distinct sites (fractional):
Li1 0.000 0.000 0.000
Sm1 0.250 0.250 0.250
Te1 0.000 0.000 0.500

Record 16
Density functional theory data (PBE) for a relaxed LiSmTe crystal.

## Properties
- E above lowest polymorph (meV per atom) = 0
- V (Å³ per cell) = 342

Unit cell a=6.994 b=6.994 c=6.994 alpha=90.00 beta=90.00 gamma=90.00
Space group F-43m (No. 216)
Symmetry-distinct sites (fractional):
Li1 0.000 0.000 0.000
Sm1 0.000 0.000 0.500
Te1 0.250 0.250 0.250

Record 17
Density functional theory data (PBE) for a relaxed LiSmZnTe3 crystal.

## Properties
- E above lowest polymorph (meV per atom) = 37
- V (Å³ per cell) = 712

Unit cell a=12.923 b=4.338 c=12.699 alpha=90.00 beta=90.00 gamma=90.00
Space group Pnma (No. 62)
Symmetry-distinct sites (fractional):
Li1 0.120 0.250 0.009
Sm1 0.044 0.250 0.680
Zn1 0.238 0.250 0.287
Te1 0.069 0.750 0.862
Te2 0.092 0.250 0.428
Te3 0.211 0.750 0.162

Record 18
Density functional theory data (PBE) for a relaxed LiSmZnTe3 crystal.

## Properties
- E above lowest polymorph (meV per atom) = 1
- V (Å³ per cell) = 761

Unit cell a=14.748 b=4.320 c=11.939 alpha=90.00 beta=90.00 gamma=90.00
Space group Pnma (No. 62)
Symmetry-distinct sites (fractional):
Li1 0.222 0.250 0.186
Sm1 0.024 0.750 0.843
Zn1 0.019 0.250 0.604
Te1 0.092 0.250 0.389
Te2 0.115 0.750 0.077
Te3 0.156 0.250 0.749

Record 19
Density functional theory data (PBE) for a relaxed LiSmZnTe3 crystal.

## Properties
- E above lowest polymorph (meV per atom) = 15
- V (Å³ per cell) = 720

Unit cell a=11.637 b=4.269 c=14.498 alpha=90.00 beta=90.00 gamma=90.00
Space group Pnma (No. 62)
Symmetry-distinct sites (fractional):
Li1 0.249 0.250 0.061
Sm1 0.000 0.250 0.250
Zn1 0.250 0.250 0.728
Te1 0.076 0.250 0.605
Te2 0.076 0.750 0.106
Te3 0.250 0.250 0.342

Record 20
Density functional theory data (PBE) for a relaxed LiSmZnTe3 crystal.

## Properties
- E above lowest polymorph (meV per atom) = 87
- V (Å³ per cell) = 707

Unit cell a=8.745 b=4.377 c=18.482 alpha=90.00 beta=90.00 gamma=90.00
Space group Pnma (No. 62)
Symmetry-distinct sites (fractional):
Li1 0.046 0.250 0.247
Sm1 0.234 0.250 0.550
Zn1 0.135 0.250 0.854
Te1 0.001 0.750 0.916
Te2 0.124 0.750 0.441
Te3 0.206 0.250 0.719